Entry 1:
# GGA-PBE HgRuPb2, relaxed
# Magnetic moment in Bohr magnetons per cell: 0.000
# Total DFT energy (no corrections) in eV/cell: -14.5
# Space-group type: F-43m (216)
# Crystal system: cubic
data_HgRuPb2
_chemical_formula_sum 'Hg1 Ru1 Pb2'
_space_group_name_H-M_alt 'P 1'
_space_group_IT_number 1
_space_group_name_Hall 'P 1'
_cell_length_a 5.0910
_cell_length_b 5.0910
_cell_length_c 5.0910
_cell_angle_alpha 60.00
_cell_angle_beta 60.00
_cell_angle_gamma 60.00
loop_
_atom_site_label
_atom_site_fract_x
_atom_site_fract_y
_atom_site_fract_z
Pb1 0.7500 0.7500 0.7500
Pb2 0.0000 0.0000 0.0000
Hg1 0.5000 0.5000 0.5000
Ru1 0.2500 0.2500 0.2500



Entry 2:
# GGA-PBE ZrAuSe2, relaxed
# Magnetic moment in Bohr magnetons per cell: 0.000
# Total DFT energy (no corrections) in eV/cell: -19.7
# Space-group type: F-43m (216)
# Crystal system: cubic
data_ZrAuSe2
_chemical_formula_sum 'Zr1 Au1 Se2'
_space_group_name_H-M_alt 'P 1'
_space_group_IT_number 1
_space_group_name_Hall 'P 1'
_cell_length_a 4.8531
_cell_length_b 4.8531
_cell_length_c 4.8531
_cell_angle_alpha 60.00
_cell_angle_beta 60.00
_cell_angle_gamma 60.00
loop_
_atom_site_label
_atom_site_fract_x
_atom_site_fract_y
_atom_site_fract_z
Zr1 0.7500 0.7500 0.7500
Se1 0.0000 0.0000 0.0000
Se2 0.2500 0.2500 0.2500
Au1 0.5000 0.5000 0.5000



Entry 3:
# GGA-PBE CsSiPdC2, relaxed
# Magnetic moment in Bohr magnetons per cell: 2.845
# Total DFT energy (no corrections) in eV/cell: -19.7
# Space-group type: P4/mmm (123)
# Crystal system: tetragonal
data_CsSiPdC2
_chemical_formula_sum 'Cs1 Si1 Pd1 C2'
_space_group_name_H-M_alt 'P 1'
_space_group_IT_number 1
_space_group_name_Hall 'P 1'
_cell_length_a 4.4462
_cell_length_b 4.8392
_cell_length_c 4.4462
_cell_angle_alpha 90.00
_cell_angle_beta 90.00
_cell_angle_gamma 90.00
loop_
_atom_site_label
_atom_site_fract_x
_atom_site_fract_y
_atom_site_fract_z
Pd1 0.0000 0.0000 0.0000
C1 0.0000 0.0000 0.5000
C2 0.5000 0.0000 0.0000
Cs1 0.5000 0.5000 0.5000
Si1 0.0000 0.5000 0.0000